MgNi2 | Alexandria via LeMat-Bulk | PBE | optimized geometry; final energy = -25.8 eV/cell; formation energy = 0.0795 eV/atom
1.0
1.3333 -6.7793 0.0000
1.3333 6.7793 0.0000
0.0000 0.0000 4.3116
Mg Ni
2 4
Cartesian
1.3333 3.9595 3.2337 Mg
1.3333 -3.9595 1.0779 Mg
1.3333 5.3324 1.0779 Ni
1.3333 0.6354 1.0779 Ni
1.3333 -0.6354 3.2337 Ni
1.3333 -5.3324 3.2337 Ni